NaBi2Pb | PBE-GGA | relaxed

Results
DFT formation energy in eV per atom: -0.118
DOS at the Fermi energy in states/eV/cell: 2.38

POSCAR file:
```
NaBi2Pb
1.0
7.041 0.000 0.000
0.000 5.332 0.000
-3.376 0.000 6.881
Na Bi Pb
2 4 2
direct
0.000 0.000 0.000
0.424 0.000 0.545
0.037 0.500 0.274
0.228 0.500 0.745
0.489 0.000 0.017
0.779 0.500 0.739
0.487 0.500 0.267
0.884 0.000 0.460
```

K2ZrScTe4 | PBE-GGA | relaxed

Results
E_form (uncorrected) in eV per atom: -1.102
DOS at the Fermi energy in states/eV/cell: 3.25

POSCAR file:
```
K2ZrScTe4
1.0
7.372 0.000 0.000
0.000 4.225 0.000
-2.428 0.000 8.305
K Zr Sc Te
2 1 1 4
direct
0.000 0.000 0.000
0.500 0.500 0.000
0.000 0.500 0.500
0.500 0.000 0.500
0.234 0.000 0.703
0.267 0.500 0.299
0.733 0.500 0.701
0.766 0.000 0.297
```